No. 1
{"formula": "Fe2C", "functional": "PBE", "state": "optimized geometry", "cell": [[2.587, 0.000, 0.000], [0.000, 6.179, 0.000], [0.000, 0.000, 6.581]], "species": ["Fe", "Fe", "Fe", "Fe", "Fe", "Fe", "Fe", "Fe", "C", "C", "C", "C"], "fractional_positions": [[0.250, 0.992, 0.680], [0.750, 0.508, 0.180], [0.250, 0.823, 0.023], [0.250, 0.323, 0.477], [0.750, 0.177, 0.977], [0.250, 0.492, 0.820], [0.750, 0.677, 0.523], [0.750, 0.008, 0.320], [0.750, 0.769, 0.810], [0.250, 0.731, 0.310], [0.750, 0.269, 0.690], [0.250, 0.231, 0.190]], "formation_energy_ev_per_atom": 0.175, "energy_ha_per_atom": -0.314}

---

No. 2
{"formula": "Fe5C3", "functional": "PBE", "state": "optimized geometry", "cell": [[-2.497, -4.271, -2.777], [4.967, -0.834, 2.612], [-2.325, -1.255, 4.021]], "species": ["Fe", "Fe", "Fe", "Fe", "Fe", "Fe", "Fe", "Fe", "Fe", "Fe", "C", "C", "C", "C", "C", "C"], "fractional_positions": [[0.333, 0.667, 0.000], [0.000, 0.750, 0.750], [0.249, 0.249, 0.750], [0.667, 0.333, 0.000], [0.333, 0.667, 0.500], [0.750, 0.000, 0.750], [0.000, 0.249, 0.250], [0.667, 0.333, 0.500], [0.750, 0.750, 0.250], [0.249, 0.000, 0.250], [0.602, 0.000, 0.250], [0.602, 0.602, 0.750], [0.000, 0.398, 0.750], [0.398, 0.398, 0.250], [0.000, 0.602, 0.250], [0.398, 0.000, 0.750]], "formation_energy_ev_per_atom": 0.353, "energy_ha_per_atom": -0.309, "de_polymorph_ev_per_atom": 0.000}

---

No. 3
{"formula": "Fe5C", "functional": "PBE", "state": "optimized geometry", "cell": [[-0.364, 0.700, 2.331], [1.978, -1.289, 0.695], [5.727, 7.980, -1.503]], "species": ["Fe", "Fe", "Fe", "Fe", "Fe", "C"], "fractional_positions": [[0.000, 0.000, 0.500], [0.500, 0.500, 0.303], [0.500, 0.500, 0.697], [0.000, 0.000, 0.115], [0.000, 0.000, 0.885], [0.500, 0.500, 0.000]], "formation_energy_ev_per_atom": 0.287, "energy_ha_per_atom": -0.305, "de_polymorph_ev_per_atom": 0.118}

---

No. 4
{"formula": "FeC3", "functional": "PBE", "state": "optimized geometry", "cell": [[-3.337, -1.514, -0.425], [0.373, -2.062, -3.036], [1.270, 0.298, 3.450]], "species": ["C", "C", "C", "Fe"], "fractional_positions": [[0.000, 0.500, 0.500], [0.184, 0.184, 0.000], [0.816, 0.816, 0.000], [0.500, 0.000, 0.500]], "formation_energy_ev_per_atom": 1.847, "energy_ha_per_atom": -0.264, "de_polymorph_ev_per_atom": 1.276}

---

No. 5
{"formula": "FeC", "functional": "PBE", "state": "optimized geometry", "cell": [[6.972, 0.000, 0.000], [0.000, 6.972, 0.000], [0.000, 0.000, 3.467]], "species": ["Fe", "Fe", "Fe", "Fe", "Fe", "Fe", "Fe", "Fe", "C", "C", "C", "C", "C", "C", "C", "C"], "fractional_positions": [[0.647, 0.834, 0.000], [0.666, 0.147, 0.500], [0.334, 0.853, 0.500], [0.353, 0.166, 0.000], [0.834, 0.353, 0.000], [0.166, 0.647, 0.000], [0.853, 0.666, 0.500], [0.147, 0.334, 0.500], [0.901, 0.263, 0.500], [0.599, 0.237, 0.000], [0.737, 0.901, 0.500], [0.401, 0.763, 0.000], [0.763, 0.599, 0.000], [0.099, 0.737, 0.500], [0.263, 0.099, 0.500], [0.237, 0.401, 0.000]], "formation_energy_ev_per_atom": 0.421, "energy_ha_per_atom": -0.310}

---

No. 6
{"formula": "FeC", "functional": "PBE", "state": "optimized geometry", "cell": [[-2.205, 1.834, 1.266], [-1.447, -3.290, 2.245], [5.768, 2.172, 6.900]], "species": ["C", "C", "C", "C", "C", "C", "Fe", "Fe", "Fe", "Fe", "Fe", "Fe"], "fractional_positions": [[0.000, 0.672, 0.000], [0.500, 0.191, 0.159], [0.000, 0.809, 0.341], [0.500, 0.328, 0.500], [0.000, 0.809, 0.659], [0.500, 0.191, 0.841], [0.000, 0.953, 0.850], [0.500, 0.445, 0.000], [0.500, 0.047, 0.350], [0.000, 0.953, 0.150], [0.000, 0.555, 0.500], [0.500, 0.047, 0.650]], "formation_energy_ev_per_atom": 0.531, "energy_ha_per_atom": -0.305}